[1]
A plane-wave DFT calculation with PBE was carried out for a geometry-optimized CeH12Rh6 structure.

```
CeH12Rh6
1.0
-2.422 -5.041 0.050
4.959 -0.902 -2.423
1.265 0.950 5.364
Ce Rh H
1 6 12
Cartesian
0.000 0.000 0.000 Ce
3.984 -2.114 1.996 Rh
2.511 -1.681 -0.427 Rh
2.199 -4.390 0.465 Rh
-0.182 -2.879 0.995 Rh
1.603 -0.603 2.525 Rh
1.291 -3.312 3.418 Rh
-1.325 -4.000 1.917 H
1.042 -4.038 1.831 H
0.402 -2.389 4.750 H
2.803 0.199 3.679 H
0.999 -5.192 -0.688 H
0.465 -1.946 2.423 H
1.196 -2.904 -0.105 H
2.606 -2.089 3.096 H
3.337 -3.047 0.567 H
5.127 -0.993 1.074 H
3.400 -2.604 -1.759 H
2.760 -0.955 1.160 H
```

Calculated values
The value obtained for the calculated total energy is -4.91 eV per atom.



[2]
A plane-wave DFT calculation with PBE was carried out for a geometry-optimized Ni2MoCl structure.

```
Ni2MoCl
1.0
2.937 0.000 0.000
0.000 2.937 0.000
0.000 0.000 6.475
Ni Mo Cl
2 1 1
Cartesian
1.468 1.468 1.332 Ni
0.000 0.000 0.004 Ni
1.468 1.468 5.064 Mo
0.000 0.000 3.314 Cl
```

Calculated values
For the energy above the most stable polymorph in this dataset, the calculation gives 119 meV per atom. The uncorrected formation energy is 25 kJ/mol of atoms.



[3]
A plane-wave DFT calculation with PBE was carried out for a geometry-optimized CeSm4Se7 structure.

```
CeSm4Se7
1.0
-2.199 1.866 2.864
3.225 -5.558 3.214
8.448 9.118 0.545
Ce Se Sm
1 7 4
Cartesian
5.429 2.631 5.338 Ce
6.585 3.551 2.742 Se
3.103 5.464 1.706 Se
9.479 5.515 3.684 Se
2.671 -1.346 5.812 Se
2.862 1.892 3.848 Se
6.820 6.780 0.818 Se
0.006 -0.092 2.949 Se
2.875 -1.057 2.897 Sm
4.036 2.781 1.287 Sm
6.622 6.498 3.734 Sm
0.009 0.007 0.003 Sm
```

Calculated values
The uncorrected formation energy is -179 kJ/mol of atoms.



[4]
A plane-wave DFT calculation with PBE was carried out for a geometry-optimized TaReAg2Ge structure.

```
TaReAg2Ge
1.0
4.611 0.000 0.000
0.000 4.941 0.000
0.000 0.000 4.611
Ag Ta Re Ge
2 1 1 1
Cartesian
2.306 0.000 0.000 Ag
0.000 0.000 2.306 Ag
0.000 2.471 0.000 Ta
2.306 2.471 2.306 Re
0.000 0.000 0.000 Ge
```

Calculated values
The value obtained for the calculated total energy is -5.44 eV per atom.



[5]
A plane-wave DFT calculation with PBE was carried out for a geometry-optimized ReRuBr2 structure.

```
ReRuBr2
1.0
-0.499 1.137 -2.948
1.528 -2.525 -1.233
-5.552 -3.213 -0.299
Ru Re Br
1 1 2
Cartesian
-3.650 -3.104 -2.315 Ru
-0.874 -1.497 -2.165 Re
-2.766 -1.600 -0.149 Br
-0.010 -0.006 -0.001 Br
```

Calculated values
For the energy above the most stable polymorph in this dataset, the calculation gives 1125 meV per atom. The uncorrected formation energy is 135 kJ/mol of atoms.



[6]
A plane-wave DFT calculation with PBE was carried out for a geometry-optimized Na3Tb2MnSe6 structure.

```
Na3Tb2MnSe6
1.0
7.036 -0.026 0.005
-3.539 6.081 0.005
-1.162 -2.012 6.991
Se Tb Na Mn
6 2 3 1
Cartesian
-0.103 -0.178 5.493 Se
2.219 0.002 1.586 Se
2.438 4.221 1.507 Se
3.442 2.120 5.414 Se
-1.107 1.923 1.586 Se
0.116 4.041 5.414 Se
3.525 2.002 0.005 Tb
-0.028 4.053 0.005 Tb
-2.335 4.044 3.500 Na
1.167 2.022 3.500 Na
4.670 -0.001 3.500 Na
0.000 0.000 0.000 Mn
```

Calculated values
The uncorrected formation energy is -129 kJ/mol of atoms.



[7]
A plane-wave DFT calculation with PBE was carried out for a geometry-optimized Y3Ho4Ni2 structure.

```
Y3Ho4Ni2
1.0
3.547 0.000 0.732
1.089 7.266 3.687
-0.115 0.295 9.525
Ho Y Ni
4 3 2
Cartesian
3.681 3.829 9.046 Ho
3.064 5.267 12.039 Ho
1.456 2.295 1.905 Ho
0.839 3.733 4.898 Ho
0.000 0.000 0.000 Y
2.313 0.923 6.717 Y
2.208 6.638 7.226 Y
2.840 1.783 4.162 Ni
1.681 5.779 9.782 Ni
```

Calculated values
The value obtained for the calculated total energy is -5.63 eV per atom.



[8]
A plane-wave DFT calculation with PBE was carried out for a geometry-optimized InAuS2 structure.

```
InAuS2
1.0
6.810 -0.006 0.003
3.430 5.850 -0.010
0.000 3.629 5.403
S Au In
4 2 2
Cartesian
3.637 2.140 0.775 S
7.063 4.315 0.029 S
3.659 5.802 2.236 S
7.041 4.283 3.971 S
3.636 2.117 3.108 Au
0.231 2.120 3.107 Au
5.338 0.301 0.408 In
1.933 0.304 0.407 In
```

Calculated values
The uncorrected formation energy is -37 kJ/mol of atoms.



[9]
A plane-wave DFT calculation with PBE was carried out for a geometry-optimized MgGa2Pb structure.

```
MgGa2Pb
1.0
8.107 0.000 0.000
0.000 8.107 0.000
4.054 4.054 2.939
Mg Ga Pb
2 4 2
Cartesian
4.054 4.054 0.000 Mg
4.054 8.107 1.470 Mg
10.134 10.068 2.204 Ga
2.093 6.080 0.735 Ga
6.014 2.027 0.735 Ga
6.080 6.147 2.204 Ga
8.107 4.054 1.470 Pb
0.000 0.000 0.000 Pb
```

Calculated values
For the energy above the most stable polymorph in this dataset, the calculation gives 112 meV per atom.



[10]
A plane-wave DFT calculation with PBE was carried out for a geometry-optimized KCuTe2S4 structure.

```
KCuTe2S4
1.0
6.882 0.000 0.000
3.441 5.437 -0.918
3.441 -0.310 5.505
S K Te Cu
4 1 2 1
Cartesian
8.945 2.771 4.128 S
4.819 0.717 2.290 S
2.063 2.355 0.459 S
11.700 4.410 2.297 S
0.000 0.000 0.000 K
6.882 1.129 3.897 Te
6.882 3.998 0.690 Te
3.441 2.563 2.294 Cu
```

Calculated values
The uncorrected formation energy is -22 kJ/mol of atoms.



[11]
A plane-wave DFT calculation with PBE was carried out for a geometry-optimized CsTl2GaAu2 structure.

```
CsTl2GaAu2
1.0
4.838 0.000 0.000
0.000 7.982 0.000
0.000 0.000 9.800
Cs Au Ga Tl
2 4 2 4
Cartesian
0.000 4.119 5.270 Cs
0.000 0.128 4.530 Cs
2.419 6.491 7.088 Au
0.000 1.860 8.109 Au
0.000 5.851 1.691 Au
2.419 2.500 2.712 Au
2.419 1.080 7.590 Ga
2.419 5.072 2.210 Ga
2.419 7.981 1.038 Tl
2.419 3.990 8.762 Tl
0.000 6.771 8.708 Tl
0.000 2.780 1.092 Tl
```

Calculated values
The value obtained for the calculated total energy is -2.67 eV per atom.



[12]
A plane-wave DFT calculation with PBE was carried out for a geometry-optimized CsInHg2I4 structure.

```
CsInHg2I4
1.0
-7.264 -6.214 -0.542
6.178 -4.644 3.402
-0.131 6.542 3.890
Cs I In Hg
1 4 1 2
Cartesian
2.631 3.767 5.430 Cs
-3.147 -5.394 2.412 I
1.369 -6.102 3.414 I
-0.627 5.543 3.793 I
-0.649 -2.064 3.831 I
-0.966 -4.815 4.040 In
0.155 1.525 3.085 Hg
3.106 -2.649 5.654 Hg
```

Calculated values
The uncorrected formation energy is -62 kJ/mol of atoms.